# 1
# TbSnHg PBE-GGA relaxed
# **Total magnetization**: 0.00 Bohr magnetons per cell
# **Volume**: 28.1 Å³/atom
# **SG**: F-43m (216)
# **E_form**: -0.350 eV/atom
# **Density**: 9.436 g/cm³
data_TbSnHg
_symmetry_space_group_name_H-M 'P 1'
_symmetry_Int_Tables_number 1
_symmetry_space_group_name_Hall 'P 1'
_cell_length_a 4.9189
_cell_length_b 4.9189
_cell_length_c 4.9189
_cell_angle_alpha 60.00
_cell_angle_beta 60.00
_cell_angle_gamma 60.00
loop_
_atom_site_label
_atom_site_type_symbol
_atom_site_fract_x
_atom_site_fract_y
_atom_site_fract_z
Hg1 Hg 0.2500 0.2500 0.2500
Tb1 Tb 0.0000 0.0000 0.0000
Sn1 Sn 0.5000 0.5000 0.5000

---

# 2
# Tb2Sn3Hg PBE-GGA relaxed
# **Total magnetization**: 0.00 Bohr magnetons per cell
# **Volume**: 29.3 Å³/atom
# **SG**: Cmcm (63)
# **E_form**: -0.219 eV/atom
# **Density**: 8.250 g/cm³
data_Tb2Sn3Hg
_symmetry_space_group_name_H-M 'P 1'
_symmetry_Int_Tables_number 1
_symmetry_space_group_name_Hall 'P 1'
_cell_length_a 5.8461
_cell_length_b 8.0515
_cell_length_c 8.0515
_cell_angle_alpha 111.72
_cell_angle_beta 90.00
_cell_angle_gamma 90.00
loop_
_atom_site_label
_atom_site_type_symbol
_atom_site_fract_x
_atom_site_fract_y
_atom_site_fract_z
Tb1 Tb 0.7500 0.4467 0.1609
Tb2 Tb 0.2500 0.5533 0.8391
Tb3 Tb 0.2500 0.8391 0.5533
Tb4 Tb 0.7500 0.1609 0.4467
Sn1 Sn 0.0000 0.1919 0.8081
Sn2 Sn 0.5000 0.1919 0.8081
Sn3 Sn 0.7500 0.5826 0.5826
Sn4 Sn 0.2500 0.4174 0.4174
Sn5 Sn 0.0000 0.8081 0.1919
Sn6 Sn 0.5000 0.8081 0.1919
Hg1 Hg 0.7500 0.8974 0.8974
Hg2 Hg 0.2500 0.1026 0.1026

---

# 3
# Tb2Sn4Hg PBE-GGA relaxed
# **Total magnetization**: 0.00 Bohr magnetons per cell
# **Volume**: 27.5 Å³/atom
# **SG**: Cmmm (65)
# **Excess energy over the best structure of this formula in the dataset**: 0.000 eV per atom
# **E_form**: -0.435 eV/atom
# **Density**: 8.565 g/cm³
data_Tb2Sn4Hg
_symmetry_space_group_name_H-M 'P 1'
_symmetry_Int_Tables_number 1
_symmetry_space_group_name_Hall 'P 1'
_cell_length_a 4.5845
_cell_length_b 6.4815
_cell_length_c 6.4815
_cell_angle_alpha 90.84
_cell_angle_beta 90.00
_cell_angle_gamma 90.00
loop_
_atom_site_label
_atom_site_type_symbol
_atom_site_fract_x
_atom_site_fract_y
_atom_site_fract_z
Sn1 Sn 0.0000 0.7634 0.7634
Sn2 Sn 0.5000 0.0000 0.5000
Sn3 Sn 0.0000 0.2366 0.2366
Sn4 Sn 0.5000 0.5000 0.0000
Hg1 Hg 0.5000 0.5000 0.5000
Tb1 Tb 0.0000 0.7473 0.2527
Tb2 Tb 0.0000 0.2527 0.7473

---

# 4
# Tb7Sn2Hg2 PBE-GGA relaxed
# **Total magnetization**: 0.00 Bohr magnetons per cell
# **Volume**: 31.1 Å³/atom
# **SG**: Cmmm (65)
# **E_form**: -0.180 eV/atom
# **Density**: 8.490 g/cm³
data_Tb7Sn2Hg2
_symmetry_space_group_name_H-M 'P 1'
_symmetry_Int_Tables_number 1
_symmetry_space_group_name_Hall 'P 1'
_cell_length_a 6.9550
_cell_length_b 7.4616
_cell_length_c 6.9550
_cell_angle_alpha 90.00
_cell_angle_beta 108.39
_cell_angle_gamma 90.00
loop_
_atom_site_label
_atom_site_type_symbol
_atom_site_fract_x
_atom_site_fract_y
_atom_site_fract_z
Tb1 Tb 0.5003 0.7174 0.9998
Tb2 Tb 0.4997 0.2826 0.0002
Tb3 Tb 0.0000 0.0000 0.0000
Tb4 Tb 0.4998 0.2521 0.5002
Tb5 Tb 0.5002 0.7479 0.4998
Tb6 Tb 0.9998 0.2826 0.5003
Tb7 Tb 0.0002 0.7174 0.4997
Hg1 Hg 0.2862 0.0000 0.7138
Hg2 Hg 0.7138 0.0000 0.2862
Sn1 Sn 0.1799 0.5000 0.1799
Sn2 Sn 0.8201 0.5000 0.8201

---

# 5
# Tb2SnHg4 PBE-GGA relaxed
# **Total magnetization**: 0.00 Bohr magnetons per cell
# **Volume**: 25.4 Å³/atom
# **SG**: R-3m (166)
# **E_form**: -0.361 eV/atom
# **Density**: 11.573 g/cm³
data_Tb2SnHg4
_symmetry_space_group_name_H-M 'P 1'
_symmetry_Int_Tables_number 1
_symmetry_space_group_name_Hall 'P 1'
_cell_length_a 5.1681
_cell_length_b 5.1681
_cell_length_c 8.2439
_cell_angle_alpha 71.73
_cell_angle_beta 71.73
_cell_angle_gamma 60.00
loop_
_atom_site_label
_atom_site_type_symbol
_atom_site_fract_x
_atom_site_fract_y
_atom_site_fract_z
Sn1 Sn 0.0000 0.0000 0.0000
Hg1 Hg 0.1395 0.1395 0.5814
Hg2 Hg 0.5718 0.5718 0.2846
Hg3 Hg 0.8605 0.8605 0.4186
Hg4 Hg 0.4282 0.4282 0.7154
Tb1 Tb 0.2781 0.2781 0.1656
Tb2 Tb 0.7219 0.7219 0.8344

---

# 6
# TbSnHg2 PBE-GGA relaxed
# **Total magnetization**: 0.00 Bohr magnetons per cell
# **Volume**: 28.2 Å³/atom
# **SG**: R3m (160)
# **E_form**: -0.248 eV/atom
# **Density**: 10.001 g/cm³
data_TbSnHg2
_symmetry_space_group_name_H-M 'P 1'
_symmetry_Int_Tables_number 1
_symmetry_space_group_name_Hall 'P 1'
_cell_length_a 4.6756
_cell_length_b 4.6756
_cell_length_c 6.5366
_cell_angle_alpha 69.04
_cell_angle_beta 69.04
_cell_angle_gamma 60.00
loop_
_atom_site_label
_atom_site_type_symbol
_atom_site_fract_x
_atom_site_fract_y
_atom_site_fract_z
Hg1 Hg 0.2539 0.2539 0.2382
Hg2 Hg 0.0833 0.0833 0.7501
Sn1 Sn 0.4873 0.4873 0.5381
Tb1 Tb 0.6755 0.6755 0.9736

---

# 7
# TbSnHg PBE-GGA relaxed
# **Total magnetization**: 0.00 Bohr magnetons per cell
# **Volume**: 31.3 Å³/atom
# **SG**: I4mm (107)
# **E_form**: -0.095 eV/atom
# **Density**: 8.444 g/cm³
data_TbSnHg
_symmetry_space_group_name_H-M 'P 1'
_symmetry_Int_Tables_number 1
_symmetry_space_group_name_Hall 'P 1'
_cell_length_a 3.4153
_cell_length_b 3.4153
_cell_length_c 8.4160
_cell_angle_alpha 101.71
_cell_angle_beta 101.71
_cell_angle_gamma 90.00
loop_
_atom_site_label
_atom_site_type_symbol
_atom_site_fract_x
_atom_site_fract_y
_atom_site_fract_z
Sn1 Sn 0.1343 0.1343 0.2686
Hg1 Hg 0.9512 0.9512 0.9025
Tb1 Tb 0.7645 0.7645 0.5289

---

# 8
# Tb5SnHg2 PBE-GGA relaxed
# **Total magnetization**: 0.00 Bohr magnetons per cell
# **Volume**: 28.2 Å³/atom
# **SG**: I4/mcm (140)
# **E_form**: -0.475 eV/atom
# **Density**: 9.660 g/cm³
data_Tb5SnHg2
_symmetry_space_group_name_H-M 'P 1'
_symmetry_Int_Tables_number 1
_symmetry_space_group_name_Hall 'P 1'
_cell_length_a 8.2954
_cell_length_b 8.2954
_cell_length_c 8.8056
_cell_angle_alpha 118.10
_cell_angle_beta 118.10
_cell_angle_gamma 90.00
loop_
_atom_site_label
_atom_site_type_symbol
_atom_site_fract_x
_atom_site_fract_y
_atom_site_fract_z
Tb1 Tb 0.4938 0.3045 0.2984
Tb2 Tb 0.0000 0.0000 0.0000
Tb3 Tb 0.5000 0.5000 0.0000
Tb4 Tb 0.8045 0.9938 0.2984
Tb5 Tb 0.1955 0.0062 0.7016
Tb6 Tb 0.3045 0.8045 0.2984
Tb7 Tb 0.0062 0.5062 0.7016
Tb8 Tb 0.5062 0.6955 0.7016
Tb9 Tb 0.6955 0.1955 0.7016
Tb10 Tb 0.9938 0.4938 0.2984
Sn1 Sn 0.2500 0.2500 0.5000
Sn2 Sn 0.7500 0.7500 0.5000
Hg1 Hg 0.1380 0.3620 0.0000
Hg2 Hg 0.6380 0.1380 0.0000
Hg3 Hg 0.8620 0.6380 0.0000
Hg4 Hg 0.3620 0.8620 0.0000

---

# 9
# Tb4Sn2Hg PBE-GGA relaxed
# **Total magnetization**: 0.00 Bohr magnetons per cell
# **Volume**: 32.7 Å³/atom
# **SG**: C2/m (12)
# **E_form**: -0.313 eV/atom
# **Density**: 7.788 g/cm³
data_Tb4Sn2Hg
_symmetry_space_group_name_H-M 'P 1'
_symmetry_Int_Tables_number 1
_symmetry_space_group_name_Hall 'P 1'
_cell_length_a 4.3770
_cell_length_b 7.8100
_cell_length_c 8.0070
_cell_angle_alpha 118.37
_cell_angle_beta 105.86
_cell_angle_gamma 90.00
loop_
_atom_site_label
_atom_site_type_symbol
_atom_site_fract_x
_atom_site_fract_y
_atom_site_fract_z
Sn1 Sn 0.7552 0.7604 0.5105
Sn2 Sn 0.2448 0.2396 0.4895
Tb1 Tb 0.3762 0.6837 0.7524
Tb2 Tb 0.8748 0.2174 0.7497
Tb3 Tb 0.6238 0.3163 0.2476
Tb4 Tb 0.1252 0.7826 0.2503
Hg1 Hg 0.0000 0.0000 0.0000

---

# 10
# TbSnHg PBE-GGA relaxed
# **Total magnetization**: 0.00 Bohr magnetons per cell
# **Volume**: 26.1 Å³/atom
# **SG**: P3m1 (156)
# **E_form**: -0.471 eV/atom
# **Density**: 10.150 g/cm³
data_TbSnHg
_symmetry_space_group_name_H-M 'P 1'
_symmetry_Int_Tables_number 1
_symmetry_space_group_name_Hall 'P 1'
_cell_length_a 3.9545
_cell_length_b 4.7797
_cell_length_c 4.7797
_cell_angle_alpha 120.00
_cell_angle_beta 90.00
_cell_angle_gamma 90.00
loop_
_atom_site_label
_atom_site_type_symbol
_atom_site_fract_x
_atom_site_fract_y
_atom_site_fract_z
Tb1 Tb 0.6415 0.3333 0.6667
Sn1 Sn 0.0594 0.0000 0.0000
Hg1 Hg 0.2991 0.6667 0.3333

---

# 11
# Tb12Sn5Hg3 PBE-GGA relaxed
# **Total magnetization**: 0.00 Bohr magnetons per cell
# **Volume**: 35.6 Å³/atom
# **SG**: Ia-3d (230)
# **E_form**: -0.020 eV/atom
# **Density**: 7.238 g/cm³
data_Tb12Sn5Hg3
_symmetry_space_group_name_H-M 'P 1'
_symmetry_Int_Tables_number 1
_symmetry_space_group_name_Hall 'P 1'
_cell_length_a 15.4648
_cell_length_b 15.4648
_cell_length_c 15.4648
_cell_angle_alpha 109.47
_cell_angle_beta 109.47
_cell_angle_gamma 109.47
loop_
_atom_site_label
_atom_site_type_symbol
_atom_site_fract_x
_atom_site_fract_y
_atom_site_fract_z
Tb1 Tb 0.5939 0.7250 0.6673
Tb2 Tb 0.0939 0.9267 0.3689
Tb3 Tb 0.7750 0.4423 0.3689
Tb4 Tb 0.5733 0.6311 0.4061
Tb5 Tb 0.4423 0.6673 0.0733
Tb6 Tb 0.3689 0.9423 0.7750
Tb7 Tb 0.0577 0.4267 0.8327
Tb8 Tb 0.8689 0.5939 0.9267
Tb9 Tb 0.3689 0.4267 0.0939
Tb10 Tb 0.0939 0.1673 0.2250
Tb11 Tb 0.2250 0.6673 0.0939
Tb12 Tb 0.6673 0.2250 0.5939
Tb13 Tb 0.3327 0.5577 0.4267
Tb14 Tb 0.5577 0.2250 0.1311
Tb15 Tb 0.9423 0.3689 0.2750
Tb16 Tb 0.9267 0.8327 0.5577
Tb17 Tb 0.0733 0.9061 0.1311
Tb18 Tb 0.3327 0.7750 0.4061
Tb19 Tb 0.5733 0.9423 0.6673
Tb20 Tb 0.8689 0.2750 0.4423
Tb21 Tb 0.1673 0.0733 0.9423
Tb22 Tb 0.4267 0.0577 0.3327
Tb23 Tb 0.4423 0.7750 0.8689
Tb24 Tb 0.8327 0.9061 0.2750
Tb25 Tb 0.2250 0.5577 0.6311
Tb26 Tb 0.9267 0.0939 0.8689
Tb27 Tb 0.9061 0.0733 0.6311
Tb28 Tb 0.0733 0.1673 0.4423
Tb29 Tb 0.2750 0.4061 0.8327
Tb30 Tb 0.7250 0.1311 0.0577
Tb31 Tb 0.6673 0.4423 0.5733
Tb32 Tb 0.1311 0.7250 0.5577
Tb33 Tb 0.7750 0.3327 0.9061
Tb34 Tb 0.1673 0.0939 0.7250
Tb35 Tb 0.4061 0.2750 0.3327
Tb36 Tb 0.6311 0.0577 0.2250
Tb37 Tb 0.9423 0.5733 0.1673
Tb38 Tb 0.4061 0.1311 0.5733
Tb39 Tb 0.5577 0.3327 0.9267
Tb40 Tb 0.0577 0.6311 0.7250
Tb41 Tb 0.7250 0.5939 0.1673
Tb42 Tb 0.8327 0.9267 0.0577
Tb43 Tb 0.2750 0.8689 0.9423
Tb44 Tb 0.1311 0.4061 0.0733
Tb45 Tb 0.4267 0.3689 0.5939
Tb46 Tb 0.6311 0.5733 0.9061
Tb47 Tb 0.5939 0.8689 0.4267
Tb48 Tb 0.9061 0.8327 0.7750
Sn1 Sn 0.8750 0.6250 0.7500
Sn2 Sn 0.0000 0.0000 0.0000
Sn3 Sn 0.7500 0.6250 0.3750
Sn4 Sn 0.7500 0.1250 0.8750
Sn5 Sn 0.5000 0.0000 0.5000
Sn6 Sn 0.6250 0.7500 0.8750
Sn7 Sn 0.1250 0.3750 0.2500
Sn8 Sn 0.5000 0.0000 0.0000
Sn9 Sn 0.0000 0.5000 0.5000
Sn10 Sn 0.5000 0.5000 0.5000
Sn11 Sn 0.8750 0.2500 0.6250
Sn12 Sn 0.0000 0.0000 0.5000
Sn13 Sn 0.3750 0.1250 0.7500
Sn14 Sn 0.6250 0.8750 0.2500
Sn15 Sn 0.2500 0.8750 0.1250
Sn16 Sn 0.5000 0.5000 0.0000
Sn17 Sn 0.2500 0.3750 0.6250
Sn18 Sn 0.1250 0.7500 0.3750
Sn19 Sn 0.3750 0.2500 0.1250
Sn20 Sn 0.0000 0.5000 0.0000
Hg1 Hg 0.7500 0.8750 0.6250
Hg2 Hg 0.8750 0.7500 0.1250
Hg3 Hg 0.3750 0.7500 0.6250
Hg4 Hg 0.2500 0.6250 0.8750
Hg5 Hg 0.1250 0.2500 0.8750
Hg6 Hg 0.1250 0.8750 0.7500
Hg7 Hg 0.3750 0.6250 0.2500
Hg8 Hg 0.8750 0.1250 0.2500
Hg9 Hg 0.6250 0.2500 0.3750
Hg10 Hg 0.6250 0.3750 0.7500
Hg11 Hg 0.2500 0.1250 0.3750
Hg12 Hg 0.7500 0.3750 0.1250

---

# 12
# Tb2Sn3Hg3 PBE-GGA relaxed
# **Total magnetization**: 0.00 Bohr magnetons per cell
# **Volume**: 24.9 Å³/atom
# **SG**: Pmmm (47)
# **E_form**: -0.442 eV/atom
# **Density**: 10.643 g/cm³
data_Tb2Sn3Hg3
_symmetry_space_group_name_H-M 'P 1'
_symmetry_Int_Tables_number 1
_symmetry_space_group_name_Hall 'P 1'
_cell_length_a 4.7436
_cell_length_b 4.6256
_cell_length_c 9.0714
_cell_angle_alpha 90.00
_cell_angle_beta 90.00
_cell_angle_gamma 90.00
loop_
_atom_site_label
_atom_site_type_symbol
_atom_site_fract_x
_atom_site_fract_y
_atom_site_fract_z
Hg1 Hg 0.5000 0.0000 0.0000
Hg2 Hg 0.5000 0.5000 0.2446
Hg3 Hg 0.5000 0.5000 0.7554
Tb1 Tb 0.0000 0.0000 0.2532
Tb2 Tb 0.0000 0.0000 0.7468
Sn1 Sn 0.0000 0.5000 0.0000
Sn2 Sn 0.0000 0.5000 0.5000
Sn3 Sn 0.5000 0.0000 0.5000